Record 1
## AgSbAu3 (meta-GGA SCAN)

Data for AgSbAu3 at its PBEsol-relaxed geometry.

a = 4.9281 Å, b = 4.9281 Å, c = 4.9281 Å
α = 90.00°, β = 90.00°, γ = 90.00°
Closest atoms and distances in Å follow each position.
Element x y z (fractional)
Ag 0.0000 0.0000 0.0000  6 Au 2.46
Sb 0.5000 0.5000 0.5000  12 Au 3.48
Au 0.0000 0.0000 0.5000  2 Ag 2.46
Au 0.0000 0.5000 0.0000  2 Ag 2.46
Au 0.5000 0.0000 0.0000  2 Ag 2.46

**Symmetry**: Pm-3m (221)
**Fermi-level density of states**: 2.166 states/eV/cell
**Formation energy from raw total energies**: 74.4 kJ/mol of atoms
**Calculated total energy**: -272.2 eV/f.u.


Record 2
## AgSbAu2 (meta-GGA SCAN)

Data for AgSbAu2 at its PBEsol-relaxed geometry.

a = 5.2314 Å, b = 5.2314 Å, c = 5.2314 Å
α = 133.43°, β = 133.09°, γ = 68.24°
Closest atoms and distances in Å follow each position.
Element x y z (fractional)
Ag 0.0000 0.0000 0.0000  8 Au 2.93-3.00, 4 Sb 3.00
Sb 0.7491 0.2491 0.5000  8 Au 2.93-3.01, 4 Ag 3.00
Au 0.2504 0.7504 0.5000  4 Sb 2.93, 4 Au 2.99-3.01, 4 Ag 3.00
Au 0.4996 0.4996 0.0000  4 Ag 2.93, 4 Au 2.99-3.01, 4 Sb 2.99-3.01

**Symmetry**: Imm2 (44)
**Fermi-level density of states**: 1.253 states/eV/cell
**Formation energy from raw total energies**: 4.0 kJ/mol of atoms
**Calculated total energy**: -206.8 eV/f.u.


Record 3
## AgSbAu2 (meta-GGA SCAN)

Data for AgSbAu2 at its PBEsol-relaxed geometry.

a = 5.1639 Å, b = 5.1639 Å, c = 5.1639 Å
α = 131.97°, β = 131.97°, γ = 70.27°
Closest atoms and distances in Å follow each position.
Element x y z (fractional)
Ag 0.0000 0.0000 0.0000  4 Sb 2.97, 8 Au 2.98
Sb 0.5000 0.5000 0.0000  4 Ag 2.97, 8 Au 2.98
Au 0.2500 0.7500 0.5000  4 Au 2.97, 4 Sb 2.98, 4 Ag 2.98
Au 0.7500 0.2500 0.5000  4 Au 2.97, 4 Sb 2.98, 4 Ag 2.98

**Symmetry**: I4/mmm (139)
**Fermi-level density of states**: 1.400 states/eV/cell
**Formation energy from raw total energies**: 4.1 kJ/mol of atoms
**Calculated total energy**: -206.8 eV/f.u.